The following is a DFT calculation (PBE-GGA) of Ac2SmDySe4 after structural relaxation.

Summary:
- spin magnetization (μB per formula unit) = 0.00
- uncorrected formation energy (eV/f.u.) = -14.53
- DFT total energy (eV per atom) = -5.75

abc: 7.296 4.186 7.720
angles: 90.00 108.21 90.00
Space group P2/m (No. 10)
Inequivalent atoms, fractional coordinates:
Ac: 0.000 0.000 0.000 [1 per cell]
Ac: 0.500 0.500 0.000 [1 per cell]
Sm: 0.000 0.500 0.500 [1 per cell]
Dy: 0.500 0.000 0.500 [1 per cell]
Se: 0.246 0.000 0.725 [2 per cell]
Se: 0.264 0.500 0.278 [2 per cell]

---

The following is a DFT calculation (PBE-GGA) of AcSmDySe3 after structural relaxation.

Summary:
- spin magnetization (μB per formula unit) = 0.62
- uncorrected formation energy (eV/f.u.) = -10.01
- DFT total energy (eV per atom) = -5.65

abc: 8.208 4.191 10.590
angles: 90.00 104.16 90.00
Space group P2_1/m (No. 11)
Inequivalent atoms, fractional coordinates:
Ac: 0.186 0.250 0.210 [2 per cell]
Sm: 0.172 0.250 0.624 [2 per cell]
Dy: 0.338 0.750 0.906 [2 per cell]
Se: 0.100 0.250 0.893 [2 per cell]
Se: 0.203 0.750 0.439 [2 per cell]
Se: 0.477 0.750 0.187 [2 per cell]

---

The following is a DFT calculation (PBE-GGA) of AcSmDy2Se6 after structural relaxation.

Summary:
- spin magnetization (μB per formula unit) = 0.00
- uncorrected formation energy (eV/f.u.) = -18.81
- DFT total energy (eV per atom) = -5.78

abc: 7.4310 7.4310 19.5589
angles: 90.00 90.00 120.00
Space group R3 (No. 146, hexagonal axes)
Inequivalent atoms, fractional coordinates:
Ac: 0.0000 0.0000 0.0000 [3 per cell]
Sm: 0.0000 0.0000 0.4897 [3 per cell]
Dy: 0.0000 0.0000 0.2882 [3 per cell]
Dy: 0.0000 0.0000 0.7934 [3 per cell]
Se: 0.0147 0.3128 0.8858 [9 per cell]
Se: 0.0208 0.6220 0.0526 [9 per cell]

---

The following is a DFT calculation (PBE-GGA) of Ac4SmDy3Se8 after structural relaxation.

Summary:
- spin magnetization (μB per formula unit) = 0.00
- uncorrected formation energy (eV/f.u.) = -28.89
- DFT total energy (eV per atom) = -5.73

abc: 8.3777 8.3777 21.9310
angles: 90.00 90.00 120.00
Space group R-3m (No. 166, hexagonal axes)
Inequivalent atoms, fractional coordinates:
Ac: 0.0000 0.0000 0.0000 [3 per cell]
Ac: 0.0000 0.5000 0.0000 [9 per cell]
Sm: 0.0000 0.0000 0.5000 [3 per cell]
Dy: 0.0000 0.5000 0.5000 [9 per cell]
Se: 0.0000 0.0000 0.2396 [6 per cell]
Se: 0.0045 0.5023 0.7594 [18 per cell]

---

Copy entry 2 word for word.
The following is a DFT calculation (PBE-GGA) of AcSmDySe3 after structural relaxation.

Summary:
- spin magnetization (μB per formula unit) = 0.62
- uncorrected formation energy (eV/f.u.) = -10.01
- DFT total energy (eV per atom) = -5.65

abc: 8.208 4.191 10.590
angles: 90.00 104.16 90.00
Space group P2_1/m (No. 11)
Inequivalent atoms, fractional coordinates:
Ac: 0.186 0.250 0.210 [2 per cell]
Sm: 0.172 0.250 0.624 [2 per cell]
Dy: 0.338 0.750 0.906 [2 per cell]
Se: 0.100 0.250 0.893 [2 per cell]
Se: 0.203 0.750 0.439 [2 per cell]
Se: 0.477 0.750 0.187 [2 per cell]